1.
Density functional theory data (GGA-PBEsol) for crystalline NaAlN2O at its relaxed geometry.

POSCAR file:
```
NaAlN2O
1.0
-3.5594 -1.3949 0.8458
0.8135 -3.3775 -2.1469
1.4944 -1.7759 3.3602
Na Al O N
1 1 1 2
Cartesian
0.0000 0.0000 0.0000 Na
-0.6257 -3.2742 1.0296 Al
-1.7797 -0.6975 0.4229 O
0.7472 -0.8880 1.6801 N
0.4068 -1.6888 -1.0734 N
```

E_form (uncorrected) in eV per atom: 1.76

***

2.
Density functional theory data (GGA-PBEsol) for crystalline Sn2Bi2Se at its relaxed geometry.

POSCAR file:
```
Sn2Bi2Se
1.0
-1.6546 2.7838 -2.6500
-3.4409 0.2125 2.3716
5.8576 4.5264 4.4015
Bi Se Sn
2 1 2
Cartesian
2.6773 4.8733 3.4478 Bi
-1.9152 2.6494 0.6753 Bi
0.0000 0.0000 0.0000 Se
-0.0655 3.1185 3.3170 Sn
0.8276 4.4042 0.8062 Sn
```

E_form (uncorrected) in eV per atom: 0.07

***

3.
Density functional theory data (GGA-PBEsol) for crystalline Eu2SnSe5 at its relaxed geometry.

POSCAR file:
```
Eu2SnSe5
1.0
4.0616 0.0000 0.0000
0.0000 7.9817 0.0000
0.0000 0.0000 11.7713
Eu Sn Se
4 2 10
Cartesian
2.0308 4.7193 2.0480 Eu
2.0308 3.2624 9.7233 Eu
2.0308 7.2532 7.9336 Eu
2.0308 0.7285 3.8377 Eu
0.0000 3.9908 5.8856 Sn
0.0000 0.0000 0.0000 Sn
0.0000 0.0000 5.8856 Se
0.0000 3.9908 0.0000 Se
0.0000 6.9296 2.4678 Se
0.0000 1.0521 9.3034 Se
0.0000 5.0429 8.3534 Se
0.0000 2.9388 3.4178 Se
2.0308 5.6862 5.1659 Se
2.0308 2.2955 6.6053 Se
2.0308 6.2863 11.0516 Se
2.0308 1.6953 0.7197 Se
```

E_form (uncorrected) in eV per atom: -1.21

***

4.
Density functional theory data (GGA-PBEsol) for crystalline Sr2Fe2S2OF2 at its relaxed geometry.

POSCAR file:
```
Sr2Fe2S2OF2
1.0
-0.7051 3.4415 -1.7403
-1.6285 -1.8694 -3.0370
-6.8019 -0.3832 6.4136
Sr Fe S O F
2 2 2 1 2
Cartesian
-3.8502 0.9217 -1.0332 Sr
-5.2852 0.2672 2.6696 Sr
-0.3525 1.7208 -0.8702 Fe
-0.8142 -0.9347 -1.5185 Fe
-7.6979 1.1162 0.9102 S
-1.4375 0.0727 0.7261 S
-1.1668 0.7861 -2.3886 O
-4.3368 1.9222 1.1423 F
-4.7986 -0.7333 0.4940 F
```

E_form (uncorrected) in eV per atom: -2.06

***

5.
Density functional theory data (GGA-PBEsol) for crystalline Cs3PdF5 at its relaxed geometry.

POSCAR file:
```
Cs3PdF5
1.0
6.5716 0.0000 0.0000
0.0000 7.8059 0.0000
0.0000 0.0000 7.8059
Cs Pd F
6 2 10
Cartesian
3.2858 5.2797 1.3767 Cs
3.2858 2.5262 6.4292 Cs
3.2858 1.3767 2.5262 Cs
3.2858 6.4292 5.2797 Cs
0.0000 0.0000 0.0000 Cs
0.0000 3.9030 3.9030 Cs
0.0000 3.9030 0.0000 Pd
0.0000 0.0000 3.9030 Pd
3.2858 0.0000 0.0000 F
3.2858 3.9030 3.9030 F
1.3552 0.9990 4.9020 F
5.2164 6.8069 2.9040 F
1.3552 6.8069 2.9040 F
1.3552 4.9020 6.8069 F
5.2164 4.9020 6.8069 F
5.2164 0.9990 4.9020 F
5.2164 2.9040 0.9990 F
1.3552 2.9040 0.9990 F
```

E_form (uncorrected) in eV per atom: -2.28

***

6.
Density functional theory data (GGA-PBEsol) for crystalline LiCaSi3 at its relaxed geometry.

POSCAR file:
```
LiCaSi3
1.0
-2.8404 0.4499 3.4289
0.6902 -4.2742 1.1325
3.3887 1.2476 2.6434
Ca Si Li
1 3 1
Cartesian
0.6193 -1.2883 3.6024 Ca
0.3451 -2.1371 0.5662 Si
1.6943 0.6238 1.3217 Si
-1.4202 0.2249 1.7144 Si
0.0000 0.0000 0.0000 Li
```

E_form (uncorrected) in eV per atom: 0.26